No. 1
Density functional theory data (GGA+U) for an optimized crystal structure of Ba2VO4.

As for the total magnetization: 4.0 μB/cell. The calculation puts the total energy at -6.97 eV/atom.

Geometry as CIF:
```
data_Ba2VO4
_chemical_formula_sum 'Ba8 V4 O16'
_space_group_name_H-M_alt 'P 1 21/c 1'
_space_group_IT_number 14
_cell_length_a 6.261
_cell_length_b 7.795
_cell_length_c 11.782
_cell_angle_alpha 90.00
_cell_angle_beta 117.51
_cell_angle_gamma 90.00
loop_
_space_group_symop_operation_xyz
'x,y,z'
'-x,-y,-z'
'-x,y+1/2,-z+1/2'
'x,-y+1/2,z+1/2'
loop_
_atom_site_label
_atom_site_fract_x
_atom_site_fract_y
_atom_site_fract_z
_atom_site_occupancy
Ba1 0.022 0.005 0.302 1
Ba2 0.311 0.659 0.573 1
V1 0.342 0.220 0.582 1
O1 0.142 0.173 0.134 1
O2 0.258 0.174 0.927 1
O3 0.281 0.507 0.078 1
O4 0.333 0.747 0.325 1
```

No. 2
Density functional theory data (GGA+U) for an optimized crystal structure of BaV2O2.

As for the total magnetization: 1.2 μB/cell. The relative energy among the computed polymorphs is 0 meV per atom.

Geometry as CIF:
```
data_BaV2O2
_chemical_formula_sum 'Ba2 V4 O4'
_space_group_name_H-M_alt 'I 4/m m m'
_space_group_IT_number 139
_space_group_name_Hall '-I 4 2'
_cell_length_a 3.462
_cell_length_b 3.462
_cell_length_c 12.141
_cell_angle_alpha 90.00
_cell_angle_beta 90.00
_cell_angle_gamma 90.00
loop_
_atom_site_label
_atom_site_fract_x
_atom_site_fract_y
_atom_site_fract_z
_atom_site_occupancy
Ba1 0.000 0.000 0.000 1
V1 0.000 0.500 0.250 1
O1 0.000 0.000 0.363 1
```